(1)
VASP calculation (GGA-PBE) on crystalline TaIn2SiRh at its relaxed geometry.

It has space group P4/mmm (No. 123), with a = 4.878 Å, b = 4.878 Å, c = 4.712 Å, α = 90.00°, β = 90.00° and γ = 90.00°. Symmetry generates all atoms from Ta at (0.000, 0.000, 0.000), In at (0.000, 0.500, 0.500), Si at (0.000, 0.000, 0.500) and Rh at (0.500, 0.500, 0.000).

The calculation puts the formation energy (no corrections) at 1042 meV/atom. The value obtained for the spin magnetization is 0.00 μB per formula unit. As for the theoretical density: 8.02 g/cm3. Its uncorrected energy is -0.3659 Ry per atom.

(2)
VASP calculation (GGA-PBE) on crystalline La6AuI3Cl2 at its relaxed geometry.

It has space group C2/m (No. 12), with a = 7.185 Å, b = 12.507 Å, c = 8.644 Å, α = 90.00°, β = 106.23° and γ = 90.00°. Symmetry generates all atoms from La at (0.223, 0.000, 0.203), La at (0.241, 0.329, 0.207), Au at (0.000, 0.500, 0.000), I at (0.000, 0.000, 0.500), I at (0.000, 0.340, 0.500) and Cl at (0.000, 0.168, 0.000).

The calculation puts the formation energy (no corrections) at -1177 meV/atom. The value obtained for the spin magnetization is 0.00 μB per formula unit. As for the theoretical density: 6.60 g/cm3. Its uncorrected energy is -0.3388 Ry per atom.

(3)
VASP calculation (GGA-PBE) on crystalline Na2Tm2TiSe6 at its relaxed geometry.

It has space group C2/m (No. 12), with a = 6.877 Å, b = 11.777 Å, c = 7.463 Å, α = 90.00°, β = 108.14° and γ = 90.00°. Symmetry generates all atoms from Na at (0.000, 0.172, 0.000), Tm at (0.000, 0.333, 0.500), Ti at (0.000, 0.000, 0.500), Se at (0.231, 0.155, 0.718) and Se at (0.235, 0.000, 0.285).

The calculation puts the formation energy (no corrections) at -1490 meV/atom. The value obtained for the spin magnetization is 0.00 μB per formula unit. As for the theoretical density: 5.24 g/cm3. Its uncorrected energy is -0.3793 Ry per atom.

(4)
VASP calculation (GGA-PBE) on crystalline CaZnCr2 at its relaxed geometry.

It has space group C2/m (No. 12), with a = 5.983 Å, b = 9.722 Å, c = 3.061 Å, α = 90.00°, β = 116.87° and γ = 90.00°. Symmetry generates all atoms from Ca at (0.000, 0.000, 0.000), Zn at (0.000, 0.500, 0.000) and Cr at (0.250, 0.250, 0.500).

The energy of formation comes out at 757 meV per atom. The value obtained for the spin magnetization is 7.80 μB per formula unit. As for the theoretical density: 4.38 g/cm3. Its uncorrected energy is -0.3582 Ry per atom.

| no. | volume (A^3/atom) |
| --- | --- |
| 1 | 22.4 |
| 2 | 31.1 |
| 3 | 26.1 |
| 4 | 19.9 |